# 1
The following is a GGA-PBE calculation of a geometry-optimized Tm2InOs structure, from the Alexandria database.

extended XYZ file:
```
4
Lattice="-0.564 -0.176 3.564 2.511 -4.213 0.190 4.147 2.506 0.780" Properties=species:S:1:pos:R:3 pbc="T T T"
Tm 1.255 -2.106 0.095
Os 3.047 -0.941 2.267
Tm 2.073 1.253 0.390
In -0.282 -0.088 1.782
```

Calculated formation energy ... -0.2690 eV per atom
Density of states at the Fermi level ... 0.703 states/eV per atom
Offset from the most stable computed form ... 152 meV/atom

***

# 2
The following is a GGA-PBE calculation of a geometry-optimized TbThMgPa structure, from the Alexandria database.

extended XYZ file:
```
4
Lattice="5.423 0.000 0.000 2.711 4.696 0.000 2.711 1.565 4.428" Properties=species:S:1:pos:R:3 pbc="T T T"
Th 0.000 0.000 0.000
Pa 2.711 1.565 1.107
Mg 8.134 4.696 3.321
Tb 5.423 3.131 2.214
```

Calculated formation energy ... 0.2954 eV per atom
Density of states at the Fermi level ... 1.698 states/eV per atom

***

no.,M_tot (μB/f.u.)
1,0.00
2,0.00